<i>
Below is a geometry-optimized HgMo3Br structure, with properties calculated at the PBE level.

Cell and atoms, written as extended XYZ:
```
5
Lattice="5.311 0.000 0.000 0.000 5.311 0.000 0.000 0.000 5.311" Properties=species:S:1:pos:R:3 pbc="T T T"
Mo 0.000 2.655 0.000
Mo 0.000 0.000 2.655
Mo 2.655 0.000 0.000
Br 2.655 2.655 2.655
Hg 0.000 0.000 0.000
```

space-group type	Pm-3m (221)
DOS(E_F)	6.3	states/eV per cell

=====

<ii>
Below is a geometry-optimized HgMo3Br structure, with properties calculated at the PBE level.

Cell and atoms, written as extended XYZ:
```
5
Lattice="-1.071 4.469 -0.524 -4.264 -1.180 -1.348 -1.436 0.171 4.393" Properties=species:S:1:pos:R:3 pbc="T T T"
Mo -2.132 -0.590 -0.674
Mo -0.536 2.234 -0.262
Mo -0.718 0.085 2.197
Hg -3.386 1.730 1.260
Br 0.000 0.000 0.000
```

space-group type	Pm-3m (221)
DOS(E_F)	4.3	states/eV per cell

=====

Order from most stable to least stable according to the calculation: <ii>, <i>

=====

<i>
Below is a geometry-optimized HgMoBr3 structure, with properties calculated at the PBE level.

Cell and atoms, written as extended XYZ:
```
10
Lattice="3.405 -0.001 -0.003 -1.703 9.200 -0.064 -0.004 0.964 10.337" Properties=species:S:1:pos:R:3 pbc="T T T"
Br 0.053 7.386 8.034
Br 1.756 1.765 6.604
Br 1.756 7.441 5.005
Br 1.757 4.677 9.219
Br 0.052 4.474 5.419
Br 0.053 1.710 9.633
Mo 1.756 5.767 6.908
Mo 0.053 3.384 7.730
Hg 1.756 2.481 2.471
Hg 0.058 5.707 1.830
```

space-group type	P-1 (2)
DOS(E_F)	4.4	states/eV per cell

=====

<ii>
Below is a geometry-optimized HgMoBr3 structure, with properties calculated at the PBE level.

Cell and atoms, written as extended XYZ:
```
5
Lattice="-0.816 2.903 4.348 -2.519 -4.074 2.247 4.581 -1.723 2.010" Properties=species:S:1:pos:R:3 pbc="T T T"
Br -1.259 -2.037 1.124
Br -0.408 1.451 2.174
Br 2.290 -0.862 1.005
Mo 0.000 0.000 0.000
Hg 0.623 -1.447 4.303
```

space-group type	Pm-3m (221)
DOS(E_F)	3.2	states/eV per cell

=====

Order from most stable to least stable according to the calculation: <i>, <ii>